# KLiWO4, optimized geometry, DFT PBE with a Hubbard U
# crystal system	monoclinic
# M_tot	0.00	μB/atom
# DFT total energy	-88.5	eV per cell
# Fermi-level density of states	0.0000	states/eV/atom
data_KLiWO4
_cell_length_a 6.511
_cell_length_b 6.238
_cell_length_c 7.447
_cell_angle_alpha 90.00
_cell_angle_beta 113.26
_cell_angle_gamma 90.00
_symmetry_space_group_name_H-M 'P 1'
_symmetry_Int_Tables_number 1
loop_
_symmetry_equiv_pos_as_xyz
'x,y,z'
loop_
_atom_site_label
_atom_site_type_symbol
_atom_site_fract_x
_atom_site_fract_y
_atom_site_fract_z
K1 K 0.704 0.750 0.982
K2 K 0.296 0.250 0.018
Li1 Li 0.804 0.750 0.613
Li2 Li 0.196 0.250 0.387
W1 W 0.280 0.750 0.318
W2 W 0.720 0.250 0.682
O1 O 0.905 0.482 0.733
O2 O 0.095 0.982 0.267
O3 O 0.095 0.518 0.267
O4 O 0.905 0.018 0.733
O5 O 0.421 0.750 0.153
O6 O 0.579 0.250 0.847
O7 O 0.487 0.750 0.570
O8 O 0.513 0.250 0.430

# KLi2W2O7, optimized geometry, DFT PBE with a Hubbard U
# crystal system	orthorhombic
# M_tot	0.04	μB/atom
# DFT total energy	-78.8	eV per cell
# Fermi-level density of states	0.0808	states/eV/atom
data_KLi2W2O7
_cell_length_a 3.958
_cell_length_b 3.959
_cell_length_c 9.443
_cell_angle_alpha 102.11
_cell_angle_beta 102.11
_cell_angle_gamma 90.00
_symmetry_space_group_name_H-M 'P 1'
_symmetry_Int_Tables_number 1
loop_
_symmetry_equiv_pos_as_xyz
'x,y,z'
loop_
_atom_site_label
_atom_site_type_symbol
_atom_site_fract_x
_atom_site_fract_y
_atom_site_fract_z
K1 K 0.000 0.000 0.000
Li1 Li 0.251 0.750 0.501
Li2 Li 0.749 0.250 0.499
W1 W 0.387 0.387 0.774
W2 W 0.613 0.613 0.226
O1 O 0.389 0.889 0.779
O2 O 0.718 0.718 0.435
O3 O 0.110 0.610 0.220
O4 O 0.611 0.111 0.221
O5 O 0.282 0.282 0.565
O6 O 0.890 0.390 0.780
O7 O 0.500 0.500 0.000

# KLi2WO4, optimized geometry, DFT PBE with a Hubbard U
# crystal system	tetragonal
# M_tot	0.12	μB/atom
# DFT total energy	-47.2	eV per cell
# Fermi-level density of states	0.0000	states/eV/atom
data_KLi2WO4
_cell_length_a 5.394
_cell_length_b 5.394
_cell_length_c 5.394
_cell_angle_alpha 91.68
_cell_angle_beta 119.03
_cell_angle_gamma 119.03
_symmetry_space_group_name_H-M 'P 1'
_symmetry_Int_Tables_number 1
loop_
_symmetry_equiv_pos_as_xyz
'x,y,z'
loop_
_atom_site_label
_atom_site_type_symbol
_atom_site_fract_x
_atom_site_fract_y
_atom_site_fract_z
K1 K 0.000 0.000 0.000
Li1 Li 0.500 0.750 0.250
Li2 Li 0.500 0.250 0.750
W1 W 0.000 0.500 0.500
O1 O 0.000 0.151 0.536
O2 O 0.615 0.464 0.464
O3 O 0.385 0.849 0.849
O4 O 0.000 0.536 0.151

# KLiWO4, optimized geometry, DFT PBE with a Hubbard U
# crystal system	hexagonal
# M_tot	0.00	μB/atom
# DFT total energy	-88.6	eV per cell
# Fermi-level density of states	0.0000	states/eV/atom
data_KLiWO4
_cell_length_a 6.027
_cell_length_b 6.027
_cell_length_c 10.132
_cell_angle_alpha 90.00
_cell_angle_beta 90.00
_cell_angle_gamma 120.00
_symmetry_space_group_name_H-M 'P 1'
_symmetry_Int_Tables_number 1
loop_
_symmetry_equiv_pos_as_xyz
'x,y,z'
loop_
_atom_site_label
_atom_site_type_symbol
_atom_site_fract_x
_atom_site_fract_y
_atom_site_fract_z
K1 K 0.000 0.000 0.141
K2 K 0.000 0.000 0.641
Li1 Li 0.667 0.333 0.162
Li2 Li 0.333 0.667 0.662
W1 W 0.667 0.333 0.792
W2 W 0.333 0.667 0.292
O1 O 0.667 0.333 0.971
O2 O 0.333 0.667 0.471
O3 O 0.504 0.009 0.728
O4 O 0.504 0.496 0.728
O5 O 0.496 0.991 0.228
O6 O 0.991 0.496 0.728
O7 O 0.496 0.504 0.228
O8 O 0.009 0.504 0.228

# K4LiW3O12, optimized geometry, DFT PBE with a Hubbard U
# crystal system	cubic
# M_tot	0.05	μB/atom
# DFT total energy	-125.5	eV per cell
# Fermi-level density of states	0.8112	states/eV/atom
data_K4LiW3O12
_cell_length_a 7.010
_cell_length_b 7.010
_cell_length_c 7.010
_cell_angle_alpha 109.47
_cell_angle_beta 109.47
_cell_angle_gamma 109.47
_symmetry_space_group_name_H-M 'P 1'
_symmetry_Int_Tables_number 1
loop_
_symmetry_equiv_pos_as_xyz
'x,y,z'
loop_
_atom_site_label
_atom_site_type_symbol
_atom_site_fract_x
_atom_site_fract_y
_atom_site_fract_z
K1 K 0.500 0.500 0.500
K2 K 0.000 0.000 0.500
K3 K 0.500 0.000 0.000
K4 K 0.000 0.500 0.000
Li1 Li 0.000 0.000 0.000
W1 W 0.500 0.000 0.500
W2 W 0.500 0.500 0.000
W3 W 0.000 0.500 0.500
O1 O 0.250 0.500 0.750
O2 O 0.730 0.000 0.730
O3 O 0.270 0.000 0.270
O4 O 0.750 0.500 0.250
O5 O 0.730 0.730 0.000
O6 O 0.270 0.270 0.000
O7 O 0.750 0.250 0.500
O8 O 0.250 0.750 0.500
O9 O 0.500 0.250 0.750
O10 O 0.000 0.730 0.730
O11 O 0.500 0.750 0.250
O12 O 0.000 0.270 0.270

# K2LiWO4, optimized geometry, DFT PBE with a Hubbard U
# crystal system	tetragonal
# M_tot	0.12	μB/atom
# DFT total energy	-46.2	eV per cell
# Fermi-level density of states	0.0000	states/eV/atom
data_K2LiWO4
_cell_length_a 5.660
_cell_length_b 5.660
_cell_length_c 5.660
_cell_angle_alpha 96.31
_cell_angle_beta 116.42
_cell_angle_gamma 116.42
_symmetry_space_group_name_H-M 'P 1'
_symmetry_Int_Tables_number 1
loop_
_symmetry_equiv_pos_as_xyz
'x,y,z'
loop_
_atom_site_label
_atom_site_type_symbol
_atom_site_fract_x
_atom_site_fract_y
_atom_site_fract_z
K1 K 0.500 0.750 0.250
K2 K 0.000 0.000 0.000
Li1 Li 0.500 0.250 0.750
W1 W 0.000 0.500 0.500
O1 O 0.611 0.366 0.467
O2 O 0.101 0.245 0.634
O3 O 0.899 0.533 0.144
O4 O 0.389 0.856 0.755

# KLiW4O12, optimized geometry, DFT PBE with a Hubbard U
# crystal system	tetragonal
# M_tot	0.09	μB/atom
# DFT total energy	-127.2	eV per cell
# Fermi-level density of states	0.1556	states/eV/atom
data_KLiW4O12
_cell_length_a 5.536
_cell_length_b 5.536
_cell_length_c 7.832
_cell_angle_alpha 90.00
_cell_angle_beta 90.00
_cell_angle_gamma 90.00
_symmetry_space_group_name_H-M 'P 1'
_symmetry_Int_Tables_number 1
loop_
_symmetry_equiv_pos_as_xyz
'x,y,z'
loop_
_atom_site_label
_atom_site_type_symbol
_atom_site_fract_x
_atom_site_fract_y
_atom_site_fract_z
K1 K 0.000 0.000 0.000
Li1 Li 0.500 0.500 0.500
W1 W 0.000 0.500 0.748
W2 W 0.000 0.500 0.252
W3 W 0.500 0.000 0.252
W4 W 0.500 0.000 0.748
O1 O 0.252 0.252 0.254
O2 O 0.252 0.252 0.746
O3 O 0.748 0.748 0.746
O4 O 0.748 0.748 0.254
O5 O 0.748 0.252 0.746
O6 O 0.748 0.252 0.254
O7 O 0.252 0.748 0.746
O8 O 0.252 0.748 0.254
O9 O 0.000 0.500 0.500
O10 O 0.000 0.500 0.000
O11 O 0.500 0.000 0.500
O12 O 0.500 0.000 0.000

Repeat the third record exactly.
# KLi2WO4, optimized geometry, DFT PBE with a Hubbard U
# crystal system	tetragonal
# M_tot	0.12	μB/atom
# DFT total energy	-47.2	eV per cell
# Fermi-level density of states	0.0000	states/eV/atom
data_KLi2WO4
_cell_length_a 5.394
_cell_length_b 5.394
_cell_length_c 5.394
_cell_angle_alpha 91.68
_cell_angle_beta 119.03
_cell_angle_gamma 119.03
_symmetry_space_group_name_H-M 'P 1'
_symmetry_Int_Tables_number 1
loop_
_symmetry_equiv_pos_as_xyz
'x,y,z'
loop_
_atom_site_label
_atom_site_type_symbol
_atom_site_fract_x
_atom_site_fract_y
_atom_site_fract_z
K1 K 0.000 0.000 0.000
Li1 Li 0.500 0.750 0.250
Li2 Li 0.500 0.250 0.750
W1 W 0.000 0.500 0.500
O1 O 0.000 0.151 0.536
O2 O 0.615 0.464 0.464
O3 O 0.385 0.849 0.849
O4 O 0.000 0.536 0.151

Q: Look up the DFT total energy of the sixth one.
A: -46.2 eV per cell

Q: Among the records above, which one has the highest Fermi-level density of states?
A: K4LiW3O12